Record 1
This record from Alexandria via LeMat-Bulk describes an optimized crystal structure of Sr6AlIn. The functional is GGA-PBE.

abc: 5.8063 5.8062 11.0606
angles: 74.79 74.79 90.00
Last column: nearest neighbours and their distance in Å.
Fractional positions:
1 Sr 0.7496 0.7496 0.5008  12 Sr 4.11-4.34
2 Sr 0.5935 0.0935 0.8130  2 Al 3.48, 2 In 3.48, 1 Sr 3.84
3 Sr 0.0935 0.5935 0.8130  2 Al 3.48, 2 In 3.48, 1 Sr 3.84
4 Sr 0.4065 0.9065 0.1870  2 Al 3.48, 2 In 3.48, 1 Sr 3.84
5 Sr 0.2504 0.2504 0.4992  12 Sr 4.11-4.34
6 Sr 0.9065 0.4065 0.1870  2 Al 3.48, 2 In 3.48, 1 Sr 3.84
7 Al 0.5000 0.5000 0.0000  8 Sr 3.48
8 In 0.0000 0.0000 0.0000  8 Sr 3.48

Computed properties:
- energy (eV/atom) = -2.20
- formation energy from the elements (meV/atom) = -132.3
- total magnetic moment (μB per cell) = 0.0

=====

Record 2
This record from Alexandria via LeMat-Bulk describes an optimized crystal structure of Sr2TaAlIn. The functional is GGA-PBE.

abc: 6.1394 5.2561 6.1394
angles: 90.00 90.00 90.00
Last column: nearest neighbours and their distance in Å.
Fractional positions:
1 Sr 0.0000 0.0000 0.5000  2 In 3.07
2 Sr 0.5000 0.0000 0.0000  2 In 3.07
3 In 0.0000 0.0000 0.0000  2 Ta 2.63
4 Al 0.5000 0.5000 0.5000  8 Sr 4.04, 4 Ta 4.34
5 Ta 0.0000 0.5000 0.0000  2 In 2.63

Computed properties:
- energy (eV/atom) = -3.32
- formation energy from the elements (meV/atom) = 1018.9
- total magnetic moment (μB per cell) = 1.8

=====

Record 3
This record from Alexandria via LeMat-Bulk describes an optimized crystal structure of Sr2TiAlIn. The functional is GGA-PBE.

abc: 6.0057 5.1201 6.0057
angles: 90.00 90.00 90.00
Last column: nearest neighbours and their distance in Å.
Fractional positions:
1 Sr 0.0000 0.0000 0.5000  2 Ti 3.00
2 Sr 0.5000 0.0000 0.0000  2 Ti 3.00
3 Ti 0.0000 0.0000 0.0000  2 Al 2.56
4 Al 0.0000 0.5000 0.0000  2 Ti 2.56
5 In 0.5000 0.5000 0.5000  8 Sr 3.95, 4 Al 4.25

Computed properties:
- energy (eV/atom) = -2.98
- formation energy from the elements (meV/atom) = 568.5
- total magnetic moment (μB per cell) = 3.0

=====

Record 4
This record from Alexandria via LeMat-Bulk describes an optimized crystal structure of SrTmAlIn. The functional is GGA-PBE.

abc: 5.4007 5.4007 5.4007
angles: 60.00 60.00 60.00
Last column: nearest neighbours and their distance in Å.
Fractional positions:
1 Sr 0.7500 0.7500 0.7500  4 In 3.31, 4 Al 3.31
2 Tm 0.2500 0.2500 0.2500  4 In 3.31, 4 Al 3.31
3 Al 0.5000 0.5000 0.5000  4 Tm 3.31, 4 Sr 3.31
4 In 0.0000 0.0000 0.0000  4 Sr 3.31, 4 Tm 3.31

Computed properties:
- energy (eV/atom) = -3.40
- formation energy from the elements (meV/atom) = -244.6
- total magnetic moment (μB per cell) = 0.0

=====

Record 5
This record from Alexandria via LeMat-Bulk describes an optimized crystal structure of Sr2AlInW. The functional is GGA-PBE.

abc: 6.2427 4.9439 6.2427
angles: 90.00 90.00 90.00
Last column: nearest neighbours and their distance in Å.
Fractional positions:
1 Sr 0.0000 0.0000 0.5000  2 In 3.12
2 Sr 0.5000 0.0000 0.0000  2 In 3.12
3 Al 0.0000 0.5000 0.0000  2 In 2.47
4 W 0.5000 0.5000 0.5000  8 Sr 3.98, 4 Al 4.41
5 In 0.0000 0.0000 0.0000  2 Al 2.47

Computed properties:
- energy (eV/atom) = -3.29
- formation energy from the elements (meV/atom) = 1270.5
- total magnetic moment (μB per cell) = 4.6

=====

Record 6
This record from Alexandria via LeMat-Bulk describes an optimized crystal structure of SrYAlIn. The functional is GGA-PBE.

abc: 5.4299 5.4299 5.4299
angles: 60.00 60.00 60.00
Last column: nearest neighbours and their distance in Å.
Fractional positions:
1 Y 0.7500 0.7500 0.7500  4 In 3.33, 4 Al 3.33
2 Sr 0.2500 0.2500 0.2500  4 In 3.33, 4 Al 3.33
3 Al 0.0000 0.0000 0.0000  4 Sr 3.33, 4 Y 3.33
4 In 0.5000 0.5000 0.5000  4 Sr 3.33, 4 Y 3.33

Computed properties:
- energy (eV/atom) = -3.94
- formation energy from the elements (meV/atom) = -279.1
- total magnetic moment (μB per cell) = 0.0